[1]
Here is a relaxed structure of ScW2Au from the Alexandria database. Energies are from PBEsol.

abc: 3.295 4.496 9.056
angles: 90.00 90.00 90.00
Space group Cmm2 (No. 35)
Asymmetric unit:
Sc (0.000, 0.000, 0.000) x2
W (0.000, 0.000, 0.491) x2
W (0.000, 0.500, 0.257) x2
Au (0.000, 0.500, 0.744) x2

Results
Relative energy among the computed polymorphs, kcal/mol of atoms: 0.00
D(E_F), states/eV/atom: 0.821
Crystal system: orthorhombic



[2]
Here is a relaxed structure of ScW2Au from the Alexandria database. Energies are from PBEsol.

abc: 3.550 4.518 8.429
angles: 90.00 90.00 90.00
Space group Imm2 (No. 44)
Asymmetric unit:
Sc (0.000, 0.000, 0.000) x2
W (0.000, 0.000, 0.475) x2
W (0.000, 0.500, 0.756) x2
Au (0.000, 0.500, 0.239) x2

Results
Relative energy among the computed polymorphs, kcal/mol of atoms: 2.66
D(E_F), states/eV/atom: 0.939
Crystal system: orthorhombic



[3]
Here is a relaxed structure of ScWAu2 from the Alexandria database. Energies are from PBEsol.

abc: 2.904 4.083 5.715
angles: 90.00 90.00 90.00
Space group Pmmm (No. 47)
Asymmetric unit:
Sc (0.000, 0.000, 0.000) x1
W (0.000, 0.000, 0.500) x1
Au (0.500, 0.500, 0.258) x2

Results
Calculated total energy, eV per atom: -7.12
D(E_F), states/eV/atom: 0.885
Crystal system: orthorhombic



[4]
Here is a relaxed structure of ScW2Au from the Alexandria database. Energies are from PBEsol.

abc: 2.8447 2.8447 28.9039
angles: 90.00 90.00 120.00
Space group R3m (No. 160, hexagonal axes)
Asymmetric unit:
Sc (0.0000, 0.0000, 0.0000) x3
W (0.0000, 0.0000, 0.4996) x3
W (0.0000, 0.0000, 0.7509) x3
Au (0.0000, 0.0000, 0.2491) x3

Results
Relative energy among the computed polymorphs, kcal/mol of atoms: 5.10
D(E_F), states/eV/atom: 0.867
Crystal system: trigonal



[5]
Here is a relaxed structure of ScW2Au from the Alexandria database. Energies are from PBEsol.

abc: 2.738 2.738 8.973
angles: 90.00 90.00 90.00
Space group P4/mmm (No. 123)
Asymmetric unit:
Sc (0.000, 0.000, 0.000) x1
W (0.500, 0.500, 0.259) x2
Au (0.000, 0.000, 0.500) x1

Results
Relative energy among the computed polymorphs, kcal/mol of atoms: 4.64
D(E_F), states/eV/atom: 0.558
Crystal system: tetragonal



[6]
Here is a relaxed structure of ScW2Au from the Alexandria database. Energies are from PBEsol.

abc: 2.784 4.046 6.001
angles: 90.00 90.00 90.00
Space group Pmm2 (No. 25)
Asymmetric unit:
Sc (0.000, 0.000, 0.000) x1
W (0.000, 0.000, 0.494) x1
W (0.500, 0.500, 0.277) x1
Au (0.500, 0.500, 0.765) x1

Results
Relative energy among the computed polymorphs, kcal/mol of atoms: 2.38
D(E_F), states/eV/atom: 0.740
Crystal system: orthorhombic